Here is an optimized crystal structure of Ba2ScAs from Alexandria via LeMat-Bulk. Energies are from GGA-PBE.

- Density of states at the Fermi level: 6.60 states/eV/cell
- Size of the total moment: 0.00 μB per cell
- Energy of formation from the pure elements: -518 meV/atom
- Total DFT energy (no corrections): -4.225 eV per atom

Cell: 4.3935 5.1498 13.3107 Å, 90.00 90.00 90.00°
Last column: nearest neighbours and their distance in Å.
Atoms (fractional coordinates):
Ba: 0.0000 0.0000 0.0000  4 As 3.54, 2 Sc 3.66
Ba: 0.0000 0.5000 0.5000  4 As 3.54, 2 Sc 3.66
Ba: 0.5000 0.0000 0.2935  4 Sc 3.63, 3 As 3.79-3.85
Ba: 0.5000 0.5000 0.7935  4 Sc 3.63, 3 As 3.79-3.85
Sc: 0.0000 0.0000 0.6955  2 As 2.69
Sc: 0.0000 0.5000 0.1955  2 As 2.69
As: 0.5000 0.0000 0.5783  2 Sc 2.69
As: 0.5000 0.5000 0.0783  2 Sc 2.69


Here is an optimized crystal structure of CrFe3W from Alexandria via LeMat-Bulk. Energies are from GGA-PBE.

- Density of states at the Fermi level: 10.45 states/eV/cell
- Size of the total moment: 0.00 μB per cell
- Energy of formation from the pure elements: 1351 meV/atom
- Total DFT energy (no corrections): -8.242 eV per atom

Cell: 4.0785 4.0785 4.0785 Å, 90.00 90.00 90.00°
Last column: nearest neighbours and their distance in Å.
Atoms (fractional coordinates):
Cr: 0.0000 0.0000 0.0000  6 Fe 2.04
Fe: 0.0000 0.0000 0.5000  2 Cr 2.04
Fe: 0.0000 0.5000 0.0000  2 Cr 2.04
Fe: 0.5000 0.0000 0.0000  2 Cr 2.04
W: 0.5000 0.5000 0.5000  12 Fe 2.88


Here is an optimized crystal structure of MnPRu from Alexandria via LeMat-Bulk. Energies are from GGA-PBE.

- Density of states at the Fermi level: 8.13 states/eV/cell
- Size of the total moment: 11.47 μB per cell
- Energy of formation from the pure elements: -369 meV/atom
- Total DFT energy (no corrections): -8.321 eV per atom

Cell: 5.5061 5.5061 5.5061 Å, 90.00 90.00 90.00°
Last column: nearest neighbours and their distance in Å.
Atoms (fractional coordinates):
Mn: 0.0000 0.0000 0.0000  4 P 2.38
Mn: 0.0000 0.5000 0.5000  4 P 2.38
Mn: 0.5000 0.0000 0.5000  4 P 2.38
Mn: 0.5000 0.5000 0.0000  4 P 2.38
P: 0.2500 0.2500 0.2500  4 Mn 2.38, 4 Ru 2.38
P: 0.2500 0.7500 0.7500  4 Mn 2.38, 4 Ru 2.38
P: 0.7500 0.2500 0.7500  4 Mn 2.38, 4 Ru 2.38
P: 0.7500 0.7500 0.2500  4 Mn 2.38, 4 Ru 2.38
Ru: 0.0000 0.0000 0.5000  4 P 2.38
Ru: 0.0000 0.5000 0.0000  4 P 2.38
Ru: 0.5000 0.0000 0.0000  4 P 2.38
Ru: 0.5000 0.5000 0.5000  4 P 2.38


Here is an optimized crystal structure of SrRu2W from Alexandria via LeMat-Bulk. Energies are from GGA-PBE.

- Density of states at the Fermi level: 4.29 states/eV/cell
- Size of the total moment: 0.00 μB per cell
- Energy of formation from the pure elements: 1102 meV/atom
- Total DFT energy (no corrections): -7.195 eV per atom
- Energy above the lowest structure with this stoichiometry: 824 meV per atom

Cell: 3.1711 4.4158 5.1478 Å, 90.00 90.00 90.00°
Last column: nearest neighbours and their distance in Å.
Atoms (fractional coordinates):
Sr: 0.0000 0.0000 0.0000  4 Ru 2.72, 4 W 3.02
Ru: 0.0000 0.5000 0.5000  4 W 2.72, 4 Ru 3.02
Ru: 0.5000 0.5000 0.0000  4 Sr 2.72, 4 Ru 3.02
W: 0.5000 0.0000 0.5000  4 Ru 2.72, 4 Sr 3.02


Here is an optimized crystal structure of CrSb2Os from Alexandria via LeMat-Bulk. Energies are from GGA-PBE.

- Density of states at the Fermi level: 9.37 states/eV/cell
- Size of the total moment: 0.00 μB per cell
- Formation energy from raw total energies: 0.484 eV per atom
- Total DFT energy (no corrections): -6.790 eV per atom
- Energy above the lowest structure with this stoichiometry: 223 meV per atom

Cell: 6.4821 6.4821 6.4821 Å, 90.00 90.00 90.00°
Last column: nearest neighbours and their distance in Å.
Atoms (fractional coordinates):
Cr: 0.0000 0.0000 0.0000  8 Sb 2.81
Cr: 0.0000 0.5000 0.5000  8 Sb 2.81
Cr: 0.5000 0.0000 0.5000  8 Sb 2.81
Cr: 0.5000 0.5000 0.0000  8 Sb 2.81
Sb: 0.2500 0.2500 0.2500  4 Os 2.81, 4 Cr 2.81
Sb: 0.2500 0.2500 0.7500  4 Cr 2.81, 4 Os 2.81
Sb: 0.2500 0.7500 0.2500  4 Cr 2.81, 4 Os 2.81
Sb: 0.2500 0.7500 0.7500  4 Os 2.81, 4 Cr 2.81
Sb: 0.7500 0.2500 0.2500  4 Cr 2.81, 4 Os 2.81
Sb: 0.7500 0.2500 0.7500  4 Os 2.81, 4 Cr 2.81
Sb: 0.7500 0.7500 0.2500  4 Os 2.81, 4 Cr 2.81
Sb: 0.7500 0.7500 0.7500  4 Cr 2.81, 4 Os 2.81
Os: 0.0000 0.0000 0.5000  8 Sb 2.81
Os: 0.0000 0.5000 0.0000  8 Sb 2.81
Os: 0.5000 0.0000 0.0000  8 Sb 2.81
Os: 0.5000 0.5000 0.5000  8 Sb 2.81


Here is an optimized crystal structure of LiGdAu from Alexandria via LeMat-Bulk. Energies are from GGA-PBE.

- Density of states at the Fermi level: 4.49 states/eV/cell
- Size of the total moment: 14.13 μB per cell
- Energy of formation from the pure elements: -507 meV/atom
- Total DFT energy (no corrections): -6.931 eV per atom
- Energy above the lowest structure with this stoichiometry: 10 meV per atom

Cell: 3.7274 3.7274 9.3017 Å, 90.00 90.00 90.00°
Last column: nearest neighbours and their distance in Å.
Atoms (fractional coordinates):
Li: 0.0000 0.0000 0.0000  5 Gd 2.85-3.19, 4 Au 2.96
Li: 0.5000 0.5000 0.5000  5 Gd 2.85-3.19, 4 Au 2.96
Gd: 0.0000 0.0000 0.3065  5 Li 2.85-3.19, 5 Au 3.04-3.14
Gd: 0.5000 0.5000 0.8065  5 Li 2.85-3.19, 5 Au 3.04-3.14
Au: 0.0000 0.0000 0.6442  5 Li 2.96-3.31, 5 Gd 3.04-3.14
Au: 0.5000 0.5000 0.1442  5 Li 2.96-3.31, 5 Gd 3.04-3.14